(1)
The following is a DFT calculation (PBE) of a relaxed Tm6FeHg2 crystal.

## Properties
Space-group type ... Immm
Formation enthalpy at 0 K ... -0.047 eV/atom
Energy above the lowest structure with this stoichiometry ... 1.57 eV/f.u.
DOS(E_F) ... 10.760 states/eV/cell

Structure (CIF):
```
data_Tm6FeHg2
_cell_length_a 8.330
_cell_length_b 8.330
_cell_length_c 8.330
_cell_angle_alpha 145.04
_cell_angle_beta 130.40
_cell_angle_gamma 62.11
_space_group_name_H-M_alt 'P 1'
_space_group_IT_number 1
loop_
_space_group_symop_operation_xyz
'x,y,z'
loop_
_atom_site_label
_atom_site_fract_x
_atom_site_fract_y
_atom_site_fract_z
Tm1 0.087 0.347 0.740
Tm2 0.225 0.000 0.225
Tm3 0.394 0.653 0.740
Tm4 0.606 0.347 0.260
Tm5 0.775 0.000 0.775
Tm6 0.913 0.653 0.260
Fe1 0.000 0.500 0.500
Hg1 0.334 0.834 0.500
Hg2 0.666 0.166 0.500
```



(2)
The following is a DFT calculation (PBE) of a relaxed Tm12FeHg6 crystal.

## Properties
Space-group type ... R-3
Formation enthalpy at 0 K ... -0.199 eV/atom
DOS(E_F) ... 17.796 states/eV/cell

Structure (CIF):
```
data_Tm12FeHg6
_cell_length_a 8.068
_cell_length_b 8.068
_cell_length_c 8.068
_cell_angle_alpha 93.88
_cell_angle_beta 93.88
_cell_angle_gamma 93.88
_space_group_name_H-M_alt 'P 1'
_space_group_IT_number 1
loop_
_space_group_symop_operation_xyz
'x,y,z'
loop_
_atom_site_label
_atom_site_fract_x
_atom_site_fract_y
_atom_site_fract_z
Tm1 0.031 0.694 0.914
Tm2 0.086 0.969 0.306
Tm3 0.203 0.541 0.423
Tm4 0.306 0.086 0.969
Tm5 0.423 0.203 0.541
Tm6 0.459 0.577 0.797
Tm7 0.541 0.423 0.203
Tm8 0.577 0.797 0.459
Tm9 0.694 0.914 0.031
Tm10 0.797 0.459 0.577
Tm11 0.914 0.031 0.694
Tm12 0.969 0.306 0.086
Fe1 0.000 0.000 0.000
Hg1 0.140 0.355 0.739
Hg2 0.261 0.860 0.645
Hg3 0.355 0.739 0.140
Hg4 0.645 0.261 0.860
Hg5 0.739 0.140 0.355
Hg6 0.860 0.645 0.261
```



(3)
The following is a DFT calculation (PBE) of a relaxed Tm2FeHg crystal.

## Properties
Space-group type ... R-3m
Formation enthalpy at 0 K ... 0.178 eV/atom
Energy above the lowest structure with this stoichiometry ... 1.58 eV/f.u.
DOS(E_F) ... 2.681 states/eV/cell

Structure (CIF):
```
data_Tm2FeHg
_cell_length_a 9.820
_cell_length_b 9.820
_cell_length_c 9.820
_cell_angle_alpha 21.06
_cell_angle_beta 21.06
_cell_angle_gamma 21.06
_space_group_name_H-M_alt 'P 1'
_space_group_IT_number 1
loop_
_space_group_symop_operation_xyz
'x,y,z'
loop_
_atom_site_label
_atom_site_fract_x
_atom_site_fract_y
_atom_site_fract_z
Tm1 0.110 0.110 0.110
Tm2 0.890 0.890 0.890
Fe1 0.500 0.500 0.500
Hg1 0.000 0.000 0.000
```



(4)
The following is a DFT calculation (PBE) of a relaxed Tm8FeHg2 crystal.

## Properties
Space-group type ... C2/m
Formation enthalpy at 0 K ... -0.176 eV/atom
DOS(E_F) ... 7.943 states/eV/cell

Structure (CIF):
```
data_Tm8FeHg2
_cell_length_a 8.956
_cell_length_b 8.956
_cell_length_c 6.752
_cell_angle_alpha 108.74
_cell_angle_beta 108.74
_cell_angle_gamma 33.96
_space_group_name_H-M_alt 'P 1'
_space_group_IT_number 1
loop_
_space_group_symop_operation_xyz
'x,y,z'
loop_
_atom_site_label
_atom_site_fract_x
_atom_site_fract_y
_atom_site_fract_z
Tm1 0.022 0.022 0.290
Tm2 0.198 0.198 0.790
Tm3 0.350 0.350 0.549
Tm4 0.410 0.410 0.084
Tm5 0.590 0.590 0.916
Tm6 0.650 0.650 0.451
Tm7 0.802 0.802 0.210
Tm8 0.978 0.978 0.710
Fe1 0.500 0.500 0.500
Hg1 0.183 0.183 0.210
Hg2 0.817 0.817 0.790
```